# PBE PuNp2Sn9, relaxed
# Magnetic moment   2.65 Bohr magnetons per cell
# Formation energy from the elements   -226 meV per atom
# D(E_F)   30.97 states/eV/f.u.
# Uncorrected energy   -6.580 eV/atom
data_PuNp2Sn9
_symmetry_space_group_name_H-M 'P 4/m m m'
_symmetry_Int_Tables_number 123
_symmetry_space_group_name_Hall '-P 4 2'
_cell_length_a 4.6525
_cell_length_b 4.6525
_cell_length_c 13.9218
_cell_angle_alpha 90.00
_cell_angle_beta 90.00
_cell_angle_gamma 90.00
loop_
_atom_site_label
_atom_site_type_symbol
_atom_site_fract_x
_atom_site_fract_y
_atom_site_fract_z
_atom_site_occupancy
Pu1 Pu 0.0000 0.0000 0.0000 1
Np1 Np 0.0000 0.0000 0.3340 1
Sn1 Sn 0.0000 0.5000 0.1668 1
Sn2 Sn 0.0000 0.5000 0.5000 1
Sn3 Sn 0.5000 0.5000 0.0000 1
Sn4 Sn 0.5000 0.5000 0.3326 1